This record from Alexandria via LeMat-Bulk describes a geometry-optimized Cs3H7N2 structure. The functional is PBE-GGA.

Values from the calculation:
Calculated volume (Å³/f.u.): 211.9
Energy (eV/f.u.): -40.7

a b c (Å): 5.478 3.231 12.012
angles (deg): 90.00 94.63 90.00
Fractional positions:
Cs  0.000  0.000  0.000
Cs  0.329  0.500  0.698
Cs  0.671  0.500  0.302
H  0.039  0.000  0.475
H  0.157  0.500  0.286
H  0.255  0.000  0.206
H  0.500  0.500  0.000
H  0.745  0.000  0.794
H  0.843  0.500  0.714
H  0.961  0.000  0.525
N  0.155  0.000  0.275
N  0.845  0.000  0.725